# 1
A plane-wave DFT calculation with PBE was carried out for a relaxed RhSeCl2 crystal.

Cell and atoms, written as POSCAR:
```
RhSeCl2
1.0
3.021 0.000 0.000
0.000 3.021 0.000
0.000 0.000 10.641
Cl Rh Se
2 1 1
Cartesian
0.000 0.000 1.053
0.000 0.000 4.267
1.510 1.511 2.660
1.510 1.511 7.981
```

Calculated values
Space-group type: P4/mmm
N(E_F) in states/eV/cell: 4.0
Energy above the most stable polymorph in this dataset in kJ per mole of atoms: 70.1
Raw formation energy in eV per atom: 0.360



# 2
A plane-wave DFT calculation with PBE was carried out for a relaxed TeAuSe crystal.

Cell and atoms, written as POSCAR:
```
TeAuSe
1.0
6.927 -0.866 0.553
5.299 3.126 0.309
1.627 -1.898 3.520
Te Au Se
1 1 1
Cartesian
5.328 -0.446 2.592
1.687 -1.874 3.505
8.465 0.785 1.806
```

Calculated values
Space-group type: Fmm2
N(E_F) in states/eV/cell: 3.0
Energy above the most stable polymorph in this dataset in kJ per mole of atoms: 17.3
Raw formation energy in eV per atom: 0.152



# 3
A plane-wave DFT calculation with PBE was carried out for a relaxed Zn2Co3 crystal.

Cell and atoms, written as POSCAR:
```
Zn2Co3
1.0
0.487 3.870 0.542
-1.614 -2.198 2.841
4.479 -0.830 1.903
Co Zn
3 2
Cartesian
2.632 1.320 2.517
0.719 -0.478 2.768
0.000 0.000 0.000
2.870 -0.877 3.682
0.482 1.718 1.604
```

Calculated values
Space-group type: P-3m1
N(E_F) in states/eV/cell: 8.7
Energy above the most stable polymorph in this dataset in kJ per mole of atoms: 38.5
ΔH_f (0 K) in eV/atom: 0.432



# 4
A plane-wave DFT calculation with PBE was carried out for a relaxed KRu2W crystal.

Cell and atoms, written as POSCAR:
```
KRu2W
1.0
4.179 -0.015 0.002
3.112 2.790 0.002
0.808 0.308 7.784
Ru W K
2 1 1
Cartesian
7.194 2.738 0.774
4.147 1.578 3.124
2.025 0.771 1.947
6.074 2.312 5.841
```

Calculated values
Space-group type: C2/m
N(E_F) in states/eV/cell: 3.7
Energy above the most stable polymorph in this dataset in kJ per mole of atoms: 18.5
ΔH_f (0 K) in eV/atom: 0.788



# 5
A plane-wave DFT calculation with PBE was carried out for a relaxed PmPuIrBr crystal.

Cell and atoms, written as POSCAR:
```
PmPuIrBr
1.0
-3.310 0.860 2.156
-0.354 -1.349 -3.795
2.127 -7.529 2.477
Pu Ir Br Pm
1 1 1 1
Cartesian
-0.531 -1.631 -3.239
0.647 -7.074 0.738
-2.565 -2.463 1.553
-0.297 -4.786 2.167
```

Calculated values
Space-group type: R3m
N(E_F) in states/eV/cell: 10.1
Raw formation energy in eV per atom: -0.881



# 6
A plane-wave DFT calculation with PBE was carried out for a relaxed Tb2Pr3Dy6Sc crystal.

Cell and atoms, written as POSCAR:
```
Tb2Pr3Dy6Sc
1.0
-4.692 -1.558 3.715
1.423 -3.567 -4.847
8.392 -4.419 7.031
Dy Sc Pr Tb
6 1 3 2
Cartesian
4.896 -7.541 3.051
2.874 -6.877 5.882
5.530 -4.624 5.035
2.249 -2.667 0.016
0.227 -2.003 2.847
-0.407 -4.920 0.864
0.000 0.000 0.000
0.522 -4.102 5.805
2.561 -4.772 2.949
4.601 -5.442 0.093
-2.652 -2.228 0.858
-0.618 -2.897 -1.990
```

Calculated values
Space-group type: C2/m
N(E_F) in states/eV/cell: 16.5
ΔH_f (0 K) in eV/atom: 0.030



# 7
A plane-wave DFT calculation with PBE was carried out for a relaxed Si4PRu2 crystal.

Cell and atoms, written as POSCAR:
```
Si4PRu2
1.0
-4.343 -0.519 0.849
0.141 -4.084 -1.776
-0.772 -4.602 4.931
Si Ru P
4 2 1
Cartesian
-3.673 -5.518 1.220
-1.301 -3.686 2.784
0.071 -2.042 -0.888
-2.171 -0.260 0.424
-1.804 -2.816 0.742
-3.170 -6.389 3.261
0.000 0.000 0.000
```

Calculated values
Space-group type: I4/mmm
N(E_F) in states/eV/cell: 4.6
Raw formation energy in eV per atom: 0.636



# 8
A plane-wave DFT calculation with PBE was carried out for a relaxed Ni5Te8Pd crystal.

Cell and atoms, written as POSCAR:
```
Ni5Te8Pd
1.0
6.635 0.000 3.831
2.212 6.255 3.831
0.000 0.000 7.661
Te Ni Pd
8 5 1
Cartesian
3.436 2.429 5.951
4.423 5.223 7.661
6.399 2.429 7.661
7.664 5.419 9.710
7.664 5.419 13.274
6.635 2.510 11.492
4.578 5.419 11.492
3.436 2.429 9.372
5.534 3.913 5.738
5.534 3.913 9.585
0.000 0.000 0.000
4.423 0.772 7.661
2.202 3.913 7.661
2.212 1.564 3.831
```

Calculated values
Space-group type: F-43m
N(E_F) in states/eV/cell: 7.3
Raw formation energy in eV per atom: -0.231



# 9
A plane-wave DFT calculation with PBE was carried out for a relaxed RbAgHBr2 crystal.

Cell and atoms, written as POSCAR:
```
RbAgHBr2
1.0
5.371 0.000 0.000
0.000 4.459 0.000
0.000 0.000 5.371
Ag Rb Br H
1 1 2 1
Cartesian
2.685 2.230 2.685
0.000 2.230 0.000
0.000 0.000 2.685
2.685 0.000 0.000
0.000 0.000 0.000
```

Calculated values
Space-group type: P4/mmm
N(E_F) in states/eV/cell: 0.9
Energy above the most stable polymorph in this dataset in kJ per mole of atoms: 54.9



# 10
A plane-wave DFT calculation with PBE was carried out for a relaxed PmSb2Pb crystal.

Cell and atoms, written as POSCAR:
```
PmSb2Pb
1.0
-1.468 1.969 -2.354
-4.659 0.726 3.513
2.536 4.740 2.383
Pm Sb Pb
1 2 1
Cartesian
-1.796 3.718 1.771
1.268 2.370 1.192
-2.330 0.363 1.757
-0.734 0.984 -1.177
```

Calculated values
Space-group type: P4/mmm
N(E_F) in states/eV/cell: 2.9
Energy above the most stable polymorph in this dataset in kJ per mole of atoms: 7.5
Raw formation energy in eV per atom: -0.427



# 11
A plane-wave DFT calculation with PBE was carried out for a relaxed AuS2N2 crystal.

Cell and atoms, written as POSCAR:
```
AuS2N2
1.0
-0.515 -2.267 2.135
5.223 1.348 0.512
-2.983 4.308 3.850
S N Au
2 2 1
Cartesian
2.207 4.106 3.246
1.202 0.060 0.889
-1.680 3.247 3.576
2.002 0.788 4.341
4.340 2.245 1.786
```

Calculated values
Space-group type: P1
N(E_F) in states/eV/cell: 1.7
Energy above the most stable polymorph in this dataset in kJ per mole of atoms: 0.0
Raw formation energy in eV per atom: 0.599